A plane-wave DFT calculation with GGA-PBE was carried out for a relaxed structure of CdAgMo2.

Uncorrected energy, Ry/atom: -0.4336
Calculated volume, Å³/f.u.: 68.4
Size of the total moment, μB per formula unit: 0.0
Energy of formation, kJ/mol of formula units: 177

a b c (Å): 5.3955 5.3955 5.3955
angles (deg): 138.46 138.46 60.20
Last column: nearest neighbours and their distance in Å.
Fractional positions:
1 Mo 0.5000 0.5000 0.0000  4 Mo 2.71, 4 Ag 3.02, 4 Cd 3.02
2 Mo 0.0000 0.0000 0.0000  4 Mo 2.71, 4 Cd 3.02, 4 Ag 3.02
3 Cd 0.7500 0.2500 0.5000  4 Ag 2.71, 8 Mo 3.02
4 Ag 0.2500 0.7500 0.5000  4 Cd 2.71, 8 Mo 3.02

A plane-wave DFT calculation with GGA-PBE was carried out for a relaxed structure of HoEr4Hg7.

Uncorrected energy, Ry/atom: -0.1747
Calculated volume, Å³/f.u.: 319.1
Size of the total moment, μB per formula unit: 0.0
Energy of formation, kJ/mol of formula units: -345

a b c (Å): 5.4774 9.6357 6.8847
angles (deg): 80.67 66.56 73.49
Last column: nearest neighbours and their distance in Å.
Fractional positions:
1 Er 0.5814 0.2235 0.6137  8 Hg 2.99-3.20
2 Er 0.4186 0.7765 0.3863  8 Hg 2.99-3.20
3 Er 0.2659 0.3217 0.1465  6 Hg 3.05-3.17
4 Er 0.7341 0.6783 0.8535  6 Hg 3.05-3.17
5 Hg 0.7947 0.9147 0.4959  4 Er 2.99-3.12, 4 Hg 3.10-3.32, 1 Ho 3.19
6 Hg 0.2053 0.0853 0.5041  4 Er 2.99-3.12, 4 Hg 3.10-3.32, 1 Ho 3.19
7 Hg 0.9280 0.3385 0.8054  4 Hg 3.10-3.32, 3 Er 3.17-3.20, 1 Ho 3.30
8 Hg 0.6406 0.4606 0.2581  5 Er 3.05-3.16, 4 Hg 3.13-3.32
9 Hg 0.0720 0.6615 0.1946  4 Hg 3.10-3.32, 3 Er 3.17-3.20, 1 Ho 3.30
10 Hg 0.5000 0.0000 0.0000  2 Ho 2.74
11 Hg 0.3594 0.5394 0.7419  5 Er 3.05-3.16, 4 Hg 3.13-3.32
12 Ho 0.0000 0.0000 0.0000  2 Hg 2.74

A plane-wave DFT calculation with GGA-PBE was carried out for a relaxed structure of LiHg3H2.

Uncorrected energy, Ry/atom: -0.1132
Calculated volume, Å³/f.u.: 106.2
Size of the total moment, μB per formula unit: 0.0

a b c (Å): 5.9678 18.0804 5.0263
angles (deg): 62.06 32.81 48.01
Last column: nearest neighbours and their distance in Å.
Fractional positions:
1 Li 0.8905 0.7538 0.1031  4 H 2.06-2.10
2 Li 0.1095 0.2462 0.8969  4 H 2.06-2.10
3 H 0.5852 0.6854 0.7231  1 Hg 1.72
4 H 0.7828 0.1867 0.5283  1 Hg 1.72
5 H 0.2172 0.8133 0.4717  1 Hg 1.72
6 H 0.4148 0.3146 0.2769  1 Hg 1.72
7 Hg 0.4029 0.7480 0.0995  2 H 1.72
8 Hg 0.1268 0.5478 0.0417  1 H 2.64
9 Hg 0.5971 0.2520 0.9005  2 H 1.72
10 Hg 0.8829 0.9528 0.9487  1 H 2.64
11 Hg 0.1171 0.0472 0.0513  1 H 2.64
12 Hg 0.8732 0.4522 0.9583  1 H 2.64